# Be2TeMo | the Alexandria database | GGA-PBE | optimized geometry
data_Be2TeMo
_symmetry_space_group_name_H-M 'C 1 2/m 1'
_symmetry_Int_Tables_number 12
_cell_length_a 5.317
_cell_length_b 8.747
_cell_length_c 3.117
_cell_angle_alpha 90.00
_cell_angle_beta 121.67
_cell_angle_gamma 90.00
loop_
_symmetry_equiv_pos_as_xyz
'x,y,z'
'-x,-y,-z'
'-x,y,-z'
'x,-y,z'
'x+1/2,y+1/2,z'
'-x+1/2,-y+1/2,-z'
'-x+1/2,y+1/2,-z'
'x+1/2,-y+1/2,z'
loop_
_atom_site_label
_atom_site_type_symbol
_atom_site_fract_x
_atom_site_fract_y
_atom_site_fract_z
Be1 Be 0.250 0.250 0.000
Te1 Te 0.000 0.000 0.000
Mo1 Mo 0.000 0.500 0.000
# uncorrected formation energy	663.2	meV per atom
# volume	62	Å³/f.u.

# BeTeMo2 | the Alexandria database | GGA-PBE | optimized geometry
data_BeTeMo2
_symmetry_space_group_name_H-M 'P m m m'
_symmetry_Int_Tables_number 47
_cell_length_a 3.356
_cell_length_b 4.271
_cell_length_c 4.471
_cell_angle_alpha 90.00
_cell_angle_beta 90.00
_cell_angle_gamma 90.00
loop_
_symmetry_equiv_pos_as_xyz
'x,y,z'
'-x,-y,-z'
'-x,-y,z'
'x,y,-z'
'x,-y,-z'
'-x,y,z'
'-x,y,-z'
'x,-y,z'
loop_
_atom_site_label
_atom_site_type_symbol
_atom_site_fract_x
_atom_site_fract_y
_atom_site_fract_z
Be1 Be 0.000 0.000 0.000
Te1 Te 0.500 0.000 0.500
Mo1 Mo 0.000 0.500 0.500
Mo2 Mo 0.500 0.500 0.000
# uncorrected formation energy	565.8	meV per atom
# volume	64	Å³/f.u.
# offset from the most stable computed form	0.429	eV/atom

# BeTeMo2 | the Alexandria database | GGA-PBE | optimized geometry
data_BeTeMo2
_symmetry_space_group_name_H-M 'C 1 m 1'
_symmetry_Int_Tables_number 8
_cell_length_a 8.961
_cell_length_b 3.222
_cell_length_c 4.581
_cell_angle_alpha 90.00
_cell_angle_beta 105.97
_cell_angle_gamma 90.00
loop_
_symmetry_equiv_pos_as_xyz
'x,y,z'
'x,-y,z'
'x+1/2,y+1/2,z'
'x+1/2,-y+1/2,z'
loop_
_atom_site_label
_atom_site_type_symbol
_atom_site_fract_x
_atom_site_fract_y
_atom_site_fract_z
Be1 Be 0.000 0.000 0.000
Te1 Te 0.243 0.500 0.322
Mo1 Mo 0.270 0.000 0.866
Mo2 Mo 0.498 0.000 0.552
# uncorrected formation energy	396.7	meV per atom
# volume	64	Å³/f.u.
# offset from the most stable computed form	0.260	eV/atom

# Be2TeMo | the Alexandria database | GGA-PBE | optimized geometry
data_Be2TeMo
_symmetry_space_group_name_H-M 'P 1 m 1'
_symmetry_Int_Tables_number 6
_cell_length_a 3.274
_cell_length_b 3.507
_cell_length_c 5.148
_cell_angle_alpha 90.00
_cell_angle_beta 100.98
_cell_angle_gamma 90.00
loop_
_symmetry_equiv_pos_as_xyz
'x,y,z'
'x,-y,z'
loop_
_atom_site_label
_atom_site_type_symbol
_atom_site_fract_x
_atom_site_fract_y
_atom_site_fract_z
Be1 Be 0.000 0.000 0.000
Be2 Be 0.216 0.500 0.230
Te1 Te 0.351 0.500 0.726
Mo1 Mo 0.785 0.000 0.418
# uncorrected formation energy	368.5	meV per atom
# volume	58	Å³/f.u.

# Be2TeMo | the Alexandria database | GGA-PBE | optimized geometry
data_Be2TeMo
_symmetry_space_group_name_H-M 'P 4/m m m'
_symmetry_Int_Tables_number 123
_symmetry_space_group_name_Hall '-P 4 2'
_cell_length_a 3.321
_cell_length_b 3.321
_cell_length_c 5.221
_cell_angle_alpha 90.00
_cell_angle_beta 90.00
_cell_angle_gamma 90.00
loop_
_atom_site_label
_atom_site_type_symbol
_atom_site_fract_x
_atom_site_fract_y
_atom_site_fract_z
Be1 Be 0.000 0.000 0.201
Te1 Te 0.500 0.500 0.500
Mo1 Mo 0.500 0.500 0.000
# uncorrected formation energy	283.2	meV per atom
# volume	58	Å³/f.u.

# BeTeMo | the Alexandria database | GGA-PBE | optimized geometry
data_BeTeMo
_symmetry_space_group_name_H-M 'P 3 m 1'
_symmetry_Int_Tables_number 156
_cell_length_a 3.1885
_cell_length_b 3.1885
_cell_length_c 6.0497
_cell_angle_alpha 90.00
_cell_angle_beta 90.00
_cell_angle_gamma 120.00
loop_
_symmetry_equiv_pos_as_xyz
'x,y,z'
'-y,x-y,z'
'-x+y,-x,z'
'-y,-x,z'
'-x+y,y,z'
'x,x-y,z'
loop_
_atom_site_label
_atom_site_type_symbol
_atom_site_fract_x
_atom_site_fract_y
_atom_site_fract_z
Be1 Be 0.0000 0.0000 0.0000
Te1 Te 0.3333 0.6667 0.6168
Mo1 Mo 0.6667 0.3333 0.2864
# uncorrected formation energy	510.6	meV per atom
# volume	53	Å³/f.u.
# offset from the most stable computed form	0.379	eV/atom